Entry from the Alexandria database: a relaxed structure of Nd4MgZn2Au (PBE-GGA).

abc: 9.1985 9.1985 9.1985
angles: 33.40 33.40 33.40
Closest atoms and distances in Å follow each position.
Fractional positions:
Nd: 0.1199 0.1199 0.1199  1 Au 3.12, 4 Zn 3.13, 3 Mg 3.29
Nd: 0.3716 0.3716 0.3716  3 Au 3.21, 1 Mg 3.34, 4 Zn 3.37-3.42
Nd: 0.6284 0.6284 0.6284  3 Au 3.21, 1 Mg 3.34, 4 Zn 3.37-3.42
Nd: 0.8801 0.8801 0.8801  1 Au 3.12, 4 Zn 3.13, 3 Mg 3.29
Mg: 0.5000 0.5000 0.5000  8 Nd 3.29-3.34, 6 Zn 3.60
Zn: 0.2401 0.2401 0.2401  8 Nd 3.13-3.42
Zn: 0.7599 0.7599 0.7599  8 Nd 3.13-3.42
Au: 0.0000 0.0000 0.0000  8 Nd 3.12-3.21

Output
formation energy = -0.369 eV per atom
space-group type = R-3m

=====

Entry from the Alexandria database: a relaxed structure of LaMg2InAu4 (PBE-GGA).

abc: 9.6275 9.6275 9.6275
angles: 28.07 28.07 28.07
Closest atoms and distances in Å follow each position.
Fractional positions:
La: 0.0000 0.0000 0.0000  8 Au 3.17-3.37
Mg: 0.2394 0.2394 0.2394  6 Au 2.80-2.85
Mg: 0.7606 0.7606 0.7606  6 Au 2.80-2.85
In: 0.5000 0.5000 0.5000  8 Au 2.95-2.97
Au: 0.1217 0.1217 0.1217  3 Mg 2.80, 3 In 2.97
Au: 0.3936 0.3936 0.3936  3 Mg 2.85, 1 In 2.95, 3 La 3.17, 3 Au 3.19
Au: 0.6064 0.6064 0.6064  3 Mg 2.85, 1 In 2.95, 3 La 3.17, 3 Au 3.19
Au: 0.8783 0.8783 0.8783  3 Mg 2.80, 3 In 2.97

Output
formation energy = -0.576 eV per atom
space-group type = R-3m

=====

Entry from the Alexandria database: a relaxed structure of LaH6IrPt2 (PBE-GGA).

abc: 4.7081 5.0958 5.5220
angles: 64.19 89.93 62.50
Closest atoms and distances in Å follow each position.
Fractional positions:
La: 0.0000 0.0000 0.0000  10 H 2.61-2.92
H: 0.1203 0.3106 0.2347  1 Pt 1.73, 1 Ir 1.79
H: 0.4310 0.6884 0.7663  1 Pt 1.73, 1 Ir 1.80
H: 0.4476 0.1050 0.7679  1 Ir 1.76, 1 Pt 1.78
H: 0.5524 0.8950 0.2321  1 Ir 1.76, 1 Pt 1.78
H: 0.5690 0.3116 0.2337  1 Pt 1.73, 1 Ir 1.80
H: 0.8797 0.6894 0.7653  1 Pt 1.73, 1 Ir 1.79
Ir: 0.5000 0.0000 0.5000  6 H 1.76-1.80
Pt: 0.2238 0.5524 0.6360  3 H 1.73-1.78
Pt: 0.7762 0.4476 0.3640  3 H 1.73-1.78

Output
space-group type = P-1

=====

Entry from the Alexandria database: a relaxed structure of PmTeF (PBE-GGA).

abc: 4.2215 4.2215 4.4362
angles: 90.00 90.00 120.00
Closest atoms and distances in Å follow each position.
Fractional positions:
Pm: 0.0000 0.0000 0.0000  3 F 2.44
Te: 0.6667 0.3333 0.5000  6 Pm 3.30, 6 F 3.30
F: 0.3333 0.6667 0.0000  3 Pm 2.44

Output
distance to the lowest polymorph of the same formula = 0 meV per atom
formation energy without anion corrections = -2.62 eV/atom
space-group type = P-6m2

=====

Entry from the Alexandria database: a relaxed structure of ZrBePt2W (PBE-GGA).

abc: 4.2168 4.2168 4.4331
angles: 90.00 90.00 90.00
Closest atoms and distances in Å follow each position.
Fractional positions:
Zr: 0.0000 0.0000 0.0000  4 W 2.98, 8 Pt 3.06
Be: 0.5000 0.5000 0.5000  4 Pt 2.11, 2 W 2.22
Pt: 0.0000 0.5000 0.5000  2 Be 2.11
Pt: 0.5000 0.0000 0.5000  2 Be 2.11
W: 0.5000 0.5000 0.0000  2 Be 2.22

Output
formation energy = -0.175 eV per atom
space-group type = P4/mmm

=====

Entry from the Alexandria database: a relaxed structure of PrFeTcP2 (PBE-GGA).

abc: 5.8304 5.8304 5.8304
angles: 139.63 139.63 58.41
Closest atoms and distances in Å follow each position.
Fractional positions:
Pr: 0.0000 0.0000 0.0000  8 P 3.19, 4 Fe 3.24, 4 Tc 3.24
Fe: 0.7500 0.2500 0.5000  4 P 2.30
Tc: 0.2500 0.7500 0.5000  4 P 2.30
P: 0.3589 0.3589 0.0000  2 Fe 2.30, 2 Tc 2.30
P: 0.6411 0.6411 0.0000  2 Fe 2.30, 2 Tc 2.30

Output
formation energy = -0.890 eV per atom
space-group type = I-4m2

=====

Entry from the Alexandria database: a relaxed structure of Pr2Nd6Y3 (PBE-GGA).

abc: 6.2860 6.2860 11.8996
angles: 95.10 95.10 120.07
Closest atoms and distances in Å follow each position.
Fractional positions:
Pr: 0.1666 0.8334 0.0000  6 Nd 3.61-3.62, 3 Pr 3.63
Pr: 0.8334 0.1666 0.0000  6 Nd 3.61-3.62, 3 Pr 3.63
Nd: 0.0842 0.4163 0.7484  3 Y 3.58-3.59, 6 Nd 3.61-3.64, 2 Pr 3.62
Nd: 0.2514 0.2514 0.2513  3 Y 3.58-3.59, 2 Pr 3.61, 6 Nd 3.61-3.64
Nd: 0.4163 0.0842 0.7484  3 Y 3.58-3.59, 6 Nd 3.61-3.64, 2 Pr 3.62
Nd: 0.5837 0.9158 0.2516  3 Y 3.58-3.59, 6 Nd 3.61-3.64, 2 Pr 3.62
Nd: 0.7486 0.7486 0.7487  3 Y 3.58-3.59, 2 Pr 3.61, 6 Nd 3.61-3.64
Nd: 0.9158 0.5837 0.2516  3 Y 3.58-3.59, 6 Nd 3.61-3.64, 2 Pr 3.62
Y: 0.0000 0.0000 0.5000  6 Nd 3.58-3.59, 6 Y 3.62-3.64
Y: 0.3345 0.6655 0.5000  6 Nd 3.58-3.59, 6 Y 3.60-3.64
Y: 0.6655 0.3345 0.5000  6 Nd 3.58-3.59, 6 Y 3.60-3.64

Output
formation energy = 0.162 eV per atom
distance to the lowest polymorph of the same formula = 0 meV per atom
space-group type = C2/m

=====

Entry from the Alexandria database: a relaxed structure of Rb4TbNb3O12 (PBE-GGA).

abc: 7.3049 7.3049 7.3049
angles: 109.47 109.47 109.47
Closest atoms and distances in Å follow each position.
Fractional positions:
Rb: 0.0000 0.0000 0.5000  12 O 2.98-2.99
Rb: 0.0000 0.5000 0.0000  12 O 2.98-2.99
Rb: 0.5000 0.0000 0.0000  12 O 2.98-2.99
Rb: 0.5000 0.5000 0.5000  12 O 2.98-2.99
Tb: 0.0000 0.0000 0.0000  6 O 2.27
Nb: 0.0000 0.5000 0.5000  6 O 1.94-2.11
Nb: 0.5000 0.0000 0.5000  6 O 1.94-2.11
Nb: 0.5000 0.5000 0.0000  6 O 1.94-2.11
O: 0.0000 0.2695 0.2695  1 Nb 1.94
O: 0.0000 0.7305 0.7305  1 Nb 1.94
O: 0.2500 0.5000 0.7500  2 Nb 2.11
O: 0.2500 0.7500 0.5000  2 Nb 2.11
O: 0.2695 0.0000 0.2695  1 Nb 1.94
O: 0.2695 0.2695 0.0000  1 Nb 1.94
O: 0.5000 0.2500 0.7500  2 Nb 2.11
O: 0.5000 0.7500 0.2500  2 Nb 2.11
O: 0.7305 0.0000 0.7305  1 Nb 1.94
O: 0.7305 0.7305 0.0000  1 Nb 1.94
O: 0.7500 0.2500 0.5000  2 Nb 2.11
O: 0.7500 0.5000 0.2500  2 Nb 2.11

Output
formation energy without anion corrections = -2.26 eV/atom
space-group type = Im-3m

=====

Entry from the Alexandria database: a relaxed structure of AcLuHg4 (PBE-GGA).

abc: 6.0952 6.0952 6.0952
angles: 60.00 60.00 60.00
Closest atoms and distances in Å follow each position.
Fractional positions:
Ac: 0.0000 0.0000 0.0000  12 Hg 3.57, 4 Lu 3.73
Lu: 0.7500 0.7500 0.7500  12 Hg 3.57, 4 Ac 3.73
Hg: 0.3755 0.3755 0.3755  6 Hg 3.04-3.06
Hg: 0.3755 0.3755 0.8736  6 Hg 3.04-3.06
Hg: 0.3755 0.8736 0.3755  6 Hg 3.04-3.06
Hg: 0.8736 0.3755 0.3755  6 Hg 3.04-3.06

Output
formation energy = -0.216 eV per atom
space-group type = F-43m

=====

Entry from the Alexandria database: a relaxed structure of EuCdPb (PBE-GGA).

abc: 5.1811 5.1811 3.7969
angles: 90.00 90.00 120.00
Closest atoms and distances in Å follow each position.
Fractional positions:
Eu: 0.0000 0.0000 0.0000  6 Pb 3.47-3.62, 6 Cd 3.48-3.61, 2 Eu 3.80
Cd: 0.3333 0.6667 0.5321  3 Pb 3.00
Pb: 0.6667 0.3333 0.4624  3 Cd 3.00

Output
formation energy = -0.373 eV per atom
space-group type = P3m1

=====

Entry from the Alexandria database: a relaxed structure of Tc2RhWN (PBE-GGA).

abc: 4.0343 4.0343 4.0856
angles: 90.00 90.00 90.00
Closest atoms and distances in Å follow each position.
Fractional positions:
Tc: 0.0000 0.5000 0.0000  2 N 2.02
Tc: 0.5000 0.0000 0.0000  2 N 2.02
Rh: 0.0000 0.0000 0.5000  4 W 2.85, 8 Tc 2.87
W: 0.5000 0.5000 0.5000  2 N 2.04
N: 0.5000 0.5000 0.0000  4 Tc 2.02, 2 W 2.04

Output
formation energy without anion corrections = -0.05 eV/atom
space-group type = P4/mmm

=====

Entry from the Alexandria database: a relaxed structure of SrHo4Si4 (PBE-GGA).

abc: 9.4201 9.4201 5.6673
angles: 90.00 90.00 90.00
Closest atoms and distances in Å follow each position.
Fractional positions:
Sr: 0.2500 0.2500 0.2500  4 Si 3.42
Sr: 0.7500 0.7500 0.7500  4 Si 3.42
Ho: 0.1140 0.6310 0.1286  5 Si 2.86-2.98
Ho: 0.1310 0.8860 0.6286  5 Si 2.86-2.98
Ho: 0.3690 0.6140 0.6286  5 Si 2.86-2.98
Ho: 0.3860 0.8690 0.1286  5 Si 2.86-2.98
Ho: 0.6140 0.1310 0.8714  5 Si 2.86-2.98
Ho: 0.6310 0.3860 0.3714  5 Si 2.86-2.98
Ho: 0.8690 0.1140 0.3714  5 Si 2.86-2.98
Ho: 0.8860 0.3690 0.8714  5 Si 2.86-2.98
Si: 0.0622 0.5769 0.6390  1 Si 2.44
Si: 0.0769 0.9378 0.1390  1 Si 2.44
Si: 0.4231 0.5622 0.1390  1 Si 2.44
Si: 0.4378 0.9231 0.6390  1 Si 2.44
Si: 0.5622 0.0769 0.3610  1 Si 2.44
Si: 0.5769 0.4378 0.8610  1 Si 2.44
Si: 0.9231 0.0622 0.8610  1 Si 2.44
Si: 0.9378 0.4231 0.3610  1 Si 2.44

Output
formation energy without anion corrections = -0.52 eV/atom
space-group type = P4_2/n

=====

VASP energy readings, ordered: -29.4 -28.6 -49.3 -17.6 -38.2 -38.9 -55.8 -143.4 -11.1 -16.0 -49.6 -92.7 eV per cell